Here is a geometry-optimized ZnTcB4 structure from the Open Quantum Materials Database. Energies are from PBE-GGA.

As for the total magnetic moment: 0.00 μB per atom. The distance to the lowest polymorph of the same formula is 0.000 eV per atom.

CIF file:
```
data_ZnTcB4
_chemical_formula_sum 'Zn2 Tc2 B8'
_space_group_name_H-M_alt 'I m m m'
_space_group_IT_number 71
_space_group_name_Hall '-I 2 2'
_cell_length_a 2.9828
_cell_length_b 5.2251
_cell_length_c 6.7507
_cell_angle_alpha 90.00
_cell_angle_beta 90.00
_cell_angle_gamma 90.00
loop_
_atom_site_label
_atom_site_type_symbol
_atom_site_fract_x
_atom_site_fract_y
_atom_site_fract_z
Zn1 Zn 0.0000 0.0000 0.0000
Tc1 Tc 0.0000 0.0000 0.5000
B1 B 0.0000 0.3394 0.2536
```

=====

Here is a geometry-optimized Zr3TcB structure from the Open Quantum Materials Database. Energies are from PBE-GGA.

As for the total magnetic moment: 0.00 μB per atom. Its total energy is -8.368 eV per atom.

CIF file:
```
data_Zr3TcB
_chemical_formula_sum 'Zr6 Tc2 B2'
_space_group_name_H-M_alt 'P -3 1 m'
_space_group_IT_number 162
_space_group_name_Hall '-P 3 2'
_cell_length_a 6.5259
_cell_length_b 6.5259
_cell_length_c 5.3913
_cell_angle_alpha 90.00
_cell_angle_beta 90.00
_cell_angle_gamma 120.00
loop_
_atom_site_label
_atom_site_type_symbol
_atom_site_fract_x
_atom_site_fract_y
_atom_site_fract_z
Zr1 Zr 0.0000 0.3837 0.2424
Tc1 Tc 0.0000 0.0000 0.2565
B1 B 0.3333 0.6667 0.0000
```

=====

Here is a geometry-optimized ZrTcB2 structure from the Open Quantum Materials Database. Energies are from PBE-GGA.

As for the total magnetic moment: 0.02 μB per atom. Its total energy is -7.112 eV per atom.

CIF file:
```
data_ZrTcB2
_chemical_formula_sum 'Zr4 Tc4 B8'
_space_group_name_H-M_alt 'F -4 3 m'
_space_group_IT_number 216
_space_group_name_Hall 'F -4 2 3'
_cell_length_a 5.8593
_cell_length_b 5.8593
_cell_length_c 5.8593
_cell_angle_alpha 90.00
_cell_angle_beta 90.00
_cell_angle_gamma 90.00
loop_
_atom_site_label
_atom_site_type_symbol
_atom_site_fract_x
_atom_site_fract_y
_atom_site_fract_z
Zr1 Zr 0.0000 0.0000 0.0000
Tc1 Tc 0.2500 0.2500 0.7500
B1 B 0.0000 0.0000 0.5000
B2 B 0.2500 0.2500 0.2500
```

=====

Here is a geometry-optimized ZrTcB structure from the Open Quantum Materials Database. Energies are from PBE-GGA.

As for the total magnetic moment: 0.01 μB per atom. The distance to the lowest polymorph of the same formula is 0.000 eV per atom.

CIF file:
```
data_ZrTcB
_chemical_formula_sum 'Zr4 Tc4 B4'
_space_group_name_H-M_alt 'F -4 3 m'
_space_group_IT_number 216
_space_group_name_Hall 'F -4 2 3'
_cell_length_a 5.8467
_cell_length_b 5.8467
_cell_length_c 5.8467
_cell_angle_alpha 90.00
_cell_angle_beta 90.00
_cell_angle_gamma 90.00
loop_
_atom_site_label
_atom_site_type_symbol
_atom_site_fract_x
_atom_site_fract_y
_atom_site_fract_z
Zr1 Zr 0.0000 0.0000 0.0000
Tc1 Tc 0.2500 0.2500 0.2500
B1 B 0.0000 0.0000 0.5000
```

=====

Here is a geometry-optimized ZrTcB structure from the Open Quantum Materials Database. Energies are from PBE-GGA.

As for the total magnetic moment: 0.00 μB per atom. The distance to the lowest polymorph of the same formula is 0.439 eV per atom.

CIF file:
```
data_ZrTcB
_chemical_formula_sum 'Zr4 Tc4 B4'
_space_group_name_H-M_alt 'F -4 3 m'
_space_group_IT_number 216
_space_group_name_Hall 'F -4 2 3'
_cell_length_a 5.9475
_cell_length_b 5.9475
_cell_length_c 5.9475
_cell_angle_alpha 90.00
_cell_angle_beta 90.00
_cell_angle_gamma 90.00
loop_
_atom_site_label
_atom_site_type_symbol
_atom_site_fract_x
_atom_site_fract_y
_atom_site_fract_z
Zr1 Zr 0.0000 0.0000 0.0000
Tc1 Tc 0.2500 0.2500 0.2500
B1 B 0.2500 0.2500 0.7500
```

=====

Here is a geometry-optimized ZrTc2B2 structure from the Open Quantum Materials Database. Energies are from PBE-GGA.

As for the total magnetic moment: 0.00 μB per atom. Its total energy is -8.897 eV per atom.

CIF file:
```
data_ZrTc2B2
_chemical_formula_sum 'Zr2 Tc4 B4'
_space_group_name_H-M_alt 'I 4/m m m'
_space_group_IT_number 139
_space_group_name_Hall '-I 4 2'
_cell_length_a 3.6390
_cell_length_b 3.6390
_cell_length_c 9.4914
_cell_angle_alpha 90.00
_cell_angle_beta 90.00
_cell_angle_gamma 90.00
loop_
_atom_site_label
_atom_site_type_symbol
_atom_site_fract_x
_atom_site_fract_y
_atom_site_fract_z
Zr1 Zr 0.0000 0.0000 0.0000
Tc1 Tc 0.0000 0.5000 0.2500
B1 B 0.0000 0.0000 0.4054
```

=====

Here is a geometry-optimized Zr2TcB2 structure from the Open Quantum Materials Database. Energies are from PBE-GGA.

As for the total magnetic moment: 0.00 μB per atom. Its total energy is -8.872 eV per atom.

CIF file:
```
data_Zr2TcB2
_chemical_formula_sum 'Zr4 Tc2 B4'
_space_group_name_H-M_alt 'P 4/m b m'
_space_group_IT_number 127
_space_group_name_Hall '-P 4 2ab'
_cell_length_a 6.2692
_cell_length_b 6.2692
_cell_length_c 3.4303
_cell_angle_alpha 90.00
_cell_angle_beta 90.00
_cell_angle_gamma 90.00
loop_
_atom_site_label
_atom_site_type_symbol
_atom_site_fract_x
_atom_site_fract_y
_atom_site_fract_z
Zr1 Zr 0.1839 0.3161 0.0000
Tc1 Tc 0.0000 0.0000 0.5000
B1 B 0.1028 0.6028 0.5000
```

=====

Here is a geometry-optimized ThBTe structure from the Open Quantum Materials Database. Energies are from PBE-GGA.

As for the total magnetic moment: 0.00 μB per atom. The distance to the lowest polymorph of the same formula is 0.642 eV per atom.

CIF file:
```
data_ThBTe
_chemical_formula_sum 'Th4 B4 Te4'
_space_group_name_H-M_alt 'F -4 3 m'
_space_group_IT_number 216
_space_group_name_Hall 'F -4 2 3'
_cell_length_a 6.9401
_cell_length_b 6.9401
_cell_length_c 6.9401
_cell_angle_alpha 90.00
_cell_angle_beta 90.00
_cell_angle_gamma 90.00
loop_
_atom_site_label
_atom_site_type_symbol
_atom_site_fract_x
_atom_site_fract_y
_atom_site_fract_z
Th1 Th 0.0000 0.0000 0.0000
B1 B 0.0000 0.0000 0.5000
Te1 Te 0.2500 0.2500 0.7500
```

=====

Here is a geometry-optimized ThBTe structure from the Open Quantum Materials Database. Energies are from PBE-GGA.

As for the total magnetic moment: 0.00 μB per atom. The distance to the lowest polymorph of the same formula is 0.000 eV per atom.

CIF file:
```
data_ThBTe
_chemical_formula_sum 'Th4 B4 Te4'
_space_group_name_H-M_alt 'F -4 3 m'
_space_group_IT_number 216
_space_group_name_Hall 'F -4 2 3'
_cell_length_a 6.4886
_cell_length_b 6.4886
_cell_length_c 6.4886
_cell_angle_alpha 90.00
_cell_angle_beta 90.00
_cell_angle_gamma 90.00
loop_
_atom_site_label
_atom_site_type_symbol
_atom_site_fract_x
_atom_site_fract_y
_atom_site_fract_z
Th1 Th 0.0000 0.0000 0.0000
B1 B 0.2500 0.2500 0.7500
Te1 Te 0.0000 0.0000 0.5000
```

=====

Here is a geometry-optimized UBTe structure from the Open Quantum Materials Database. Energies are from PBE-GGA.

As for the total magnetic moment: 0.33 μB per atom. The distance to the lowest polymorph of the same formula is 0.347 eV per atom.

CIF file:
```
data_UBTe
_chemical_formula_sum 'U4 B4 Te4'
_space_group_name_H-M_alt 'F -4 3 m'
_space_group_IT_number 216
_space_group_name_Hall 'F -4 2 3'
_cell_length_a 6.5656
_cell_length_b 6.5656
_cell_length_c 6.5656
_cell_angle_alpha 90.00
_cell_angle_beta 90.00
_cell_angle_gamma 90.00
loop_
_atom_site_label
_atom_site_type_symbol
_atom_site_fract_x
_atom_site_fract_y
_atom_site_fract_z
U1 U 0.0000 0.0000 0.0000
B1 B 0.2500 0.2500 0.7500
Te1 Te 0.2500 0.2500 0.2500
```

=====

Here is a geometry-optimized UBTe structure from the Open Quantum Materials Database. Energies are from PBE-GGA.

As for the total magnetic moment: 0.98 μB per atom. The distance to the lowest polymorph of the same formula is 0.811 eV per atom.

CIF file:
```
data_UBTe
_chemical_formula_sum 'U4 B4 Te4'
_space_group_name_H-M_alt 'F -4 3 m'
_space_group_IT_number 216
_space_group_name_Hall 'F -4 2 3'
_cell_length_a 6.7164
_cell_length_b 6.7164
_cell_length_c 6.7164
_cell_angle_alpha 90.00
_cell_angle_beta 90.00
_cell_angle_gamma 90.00
loop_
_atom_site_label
_atom_site_type_symbol
_atom_site_fract_x
_atom_site_fract_y
_atom_site_fract_z
U1 U 0.0000 0.0000 0.0000
B1 B 0.0000 0.0000 0.5000
Te1 Te 0.2500 0.2500 0.7500
```

=====

Here is a geometry-optimized UBTe structure from the Open Quantum Materials Database. Energies are from PBE-GGA.

As for the total magnetic moment: 0.47 μB per atom. The distance to the lowest polymorph of the same formula is 0.000 eV per atom.

CIF file:
```
data_UBTe
_chemical_formula_sum 'U4 B4 Te4'
_space_group_name_H-M_alt 'F -4 3 m'
_space_group_IT_number 216
_space_group_name_Hall 'F -4 2 3'
_cell_length_a 6.1555
_cell_length_b 6.1555
_cell_length_c 6.1555
_cell_angle_alpha 90.00
_cell_angle_beta 90.00
_cell_angle_gamma 90.00
loop_
_atom_site_label
_atom_site_type_symbol
_atom_site_fract_x
_atom_site_fract_y
_atom_site_fract_z
U1 U 0.0000 0.0000 0.0000
B1 B 0.2500 0.2500 0.7500
Te1 Te 0.0000 0.0000 0.5000
```